Record 1
DFT (PBE) results for a geometry-optimized Hf4TeC2S structure.

a = 3.4462 Å, b = 3.4462 Å, c = 12.6365 Å
α = 90.00°, β = 90.00°, γ = 120.00°
Space group P-6m2 (No. 187)
Inequivalent atoms, fractional coordinates:
Hf  0.0000  0.0000  0.1420 [2 per cell]
Hf  0.3333  0.6667  0.3287 [2 per cell]
Te  0.0000  0.0000  0.5000 [1 per cell]
C  0.6667  0.3333  0.2346 [2 per cell]
S  0.3333  0.6667  0.0000 [1 per cell]

Output
Total magnetization, μB/f.u.: 0.001

***

Record 2
DFT (PBE) results for a geometry-optimized Sr2LiOsN6 structure.

a = 5.4851 Å, b = 5.5584 Å, c = 5.5626 Å
α = 61.45°, β = 61.05°, γ = 61.04°
Space group P-1 (No. 2)
Inequivalent atoms, fractional coordinates:
Sr  0.2485  0.2535  0.2534 [2 per cell]
Li  0.5000  0.5000  0.5000 [1 per cell]
Os  0.0000  0.0000  0.0000 [1 per cell]
N  0.2442  0.7595  0.7497 [2 per cell]
N  0.2447  0.2473  0.7597 [2 per cell]
N  0.2512  0.7555  0.2409 [2 per cell]

Output
Total magnetization, μB/f.u.: 0.161
Energy above the lowest structure with this stoichiometry, eV/atom: 0.003

***

Record 3
DFT (PBE) results for a geometry-optimized DyYNb structure.

a = 7.1726 Å, b = 7.1726 Å, c = 7.1726 Å
α = 90.00°, β = 90.00°, γ = 90.00°
Space group F-43m (No. 216)
Inequivalent atoms, fractional coordinates:
Dy  0.0000  0.0000  0.0000 [4 per cell]
Y  0.0000  0.0000  0.5000 [4 per cell]
Nb  0.2500  0.2500  0.2500 [4 per cell]

Output
Total magnetization, μB/f.u.: 2.176
Energy above the lowest structure with this stoichiometry, eV/atom: 0.000
Calculated formation energy, eV per atom: 0.81

***

Record 4
DFT (PBE) results for a geometry-optimized BaLiSbPt structure.

a = 7.2386 Å, b = 7.2386 Å, c = 7.2386 Å
α = 90.00°, β = 90.00°, γ = 90.00°
Space group F-43m (No. 216)
Inequivalent atoms, fractional coordinates:
Ba  0.0000  0.0000  0.0000 [4 per cell]
Li  0.2500  0.2500  0.7500 [4 per cell]
Sb  0.0000  0.0000  0.5000 [4 per cell]
Pt  0.2500  0.2500  0.2500 [4 per cell]

Output
Total magnetization, μB/f.u.: 0.000
Energy above the lowest structure with this stoichiometry, eV/atom: 0.000

***

Record 5
DFT (PBE) results for a geometry-optimized PdWAu2 structure.

a = 6.4286 Å, b = 6.4286 Å, c = 6.4286 Å
α = 90.00°, β = 90.00°, γ = 90.00°
Space group Fm-3m (No. 225)
Inequivalent atoms, fractional coordinates:
Pd  0.0000  0.0000  0.0000 [4 per cell]
W  0.0000  0.0000  0.5000 [4 per cell]
Au  0.2500  0.2500  0.2500 [8 per cell]

Output
Total magnetization, μB/f.u.: 0.001
Energy above the lowest structure with this stoichiometry, eV/atom: 0.000
Calculated formation energy, eV per atom: 0.34

***

Record 6
DFT (PBE) results for a geometry-optimized SmLuZn2Si2 structure.

a = 4.1432 Å, b = 4.1432 Å, c = 15.8608 Å
α = 90.00°, β = 90.00°, γ = 120.00°
Space group P6_3/mmc (No. 194)
Inequivalent atoms, fractional coordinates:
Sm  0.0000  0.0000  0.2500 [2 per cell]
Lu  0.0000  0.0000  0.0000 [2 per cell]
Zn  0.3333  0.6667  0.1293 [4 per cell]
Si  0.3333  0.6667  0.6148 [4 per cell]

Output
Total magnetization, μB/f.u.: 0.001

***

Record 7
DFT (PBE) results for a geometry-optimized KBAu structure.

a = 6.6890 Å, b = 6.6890 Å, c = 6.6890 Å
α = 90.00°, β = 90.00°, γ = 90.00°
Space group F-43m (No. 216)
Inequivalent atoms, fractional coordinates:
K  0.0000  0.0000  0.0000 [4 per cell]
B  0.0000  0.0000  0.5000 [4 per cell]
Au  0.2500  0.2500  0.7500 [4 per cell]

Output
Energy above the lowest structure with this stoichiometry, eV/atom: 0.164

***

Record 8
DFT (PBE) results for a geometry-optimized SrPaAg structure.

a = 7.2861 Å, b = 7.2861 Å, c = 7.2861 Å
α = 90.00°, β = 90.00°, γ = 90.00°
Space group F-43m (No. 216)
Inequivalent atoms, fractional coordinates:
Sr  0.0000  0.0000  0.0000 [4 per cell]
Pa  0.0000  0.0000  0.5000 [4 per cell]
Ag  0.2500  0.2500  0.7500 [4 per cell]

Output
Total magnetization, μB/f.u.: 1.705
Energy above the lowest structure with this stoichiometry, eV/atom: 0.000

***

For each record above, in turn, the calculated total energy values are -74.183 -61.571 -74.945 -64.596 -93.252 -52.458 -28.256 -46.592 eV/cell.